The following is a DFT calculation (GGA-PBE) of a geometry-optimized HfPa2Hg structure.

Calculated values
**Total magnetic moment**: 0.002 μB/f.u.
**DOS(E_F)**: 9.756 states/eV/cell
**ΔE to the lowest computed polymorph**: 0.291 eV per atom
**DFT formation energy**: 0.33 eV/atom

Cell: 3.9613 3.9613 6.3799 Å, 90.00 90.00 90.00°
Atoms (fractional coordinates):
Hg 0.5000 0.5000 0.0000
Hf 0.5000 0.5000 0.5000
Pa 0.0000 0.0000 0.2359
Pa 0.0000 0.0000 0.7641